A relaxed structure of CdAg2. Source: Alexandria, functional GGA-PBE.

Output
* symmetry: Cmcm, No. 63
* E above lowest polymorph: 0.003 eV/atom

Cell: 5.165 5.165 4.918 Å, 90.00 90.00 59.20°
Atoms (fractional coordinates):
Cd1 0.180 0.820 0.750
Cd2 0.820 0.180 0.250
Ag1 0.158 0.506 0.250
Ag2 0.494 0.842 0.250
Ag3 0.506 0.158 0.750
Ag4 0.842 0.494 0.750

---

A relaxed structure of CdAg3. Source: Alexandria, functional GGA-PBE.

Output
* symmetry: I4/mmm, No. 139

Cell: 9.122 9.122 9.122 Å, 153.74 153.74 37.47°
Atoms (fractional coordinates):
Cd1 0.126 0.126 0.000
Cd2 0.874 0.874 0.000
Ag1 0.000 0.500 0.500
Ag2 0.250 0.750 0.500
Ag3 0.376 0.376 0.000
Ag4 0.500 0.000 0.500
Ag5 0.624 0.624 0.000
Ag6 0.750 0.250 0.500

---

A relaxed structure of Cd4Ag3. Source: Alexandria, functional GGA-PBE.

Output
* symmetry: I4/mmm, No. 139
* E above lowest polymorph: 0.020 eV/atom

Cell: 12.941 12.941 12.941 Å, 165.30 165.30 20.85°
Atoms (fractional coordinates):
Cd1 0.070 0.070 0.000
Cd2 0.351 0.351 0.000
Cd3 0.649 0.649 0.000
Cd4 0.930 0.930 0.000
Ag1 0.217 0.217 0.000
Ag2 0.500 0.500 0.000
Ag3 0.783 0.783 0.000

---

A relaxed structure of Cd2Ag. Source: Alexandria, functional GGA-PBE.

Output
* symmetry: P4/mmm, No. 123
* E above lowest polymorph: 0.065 eV/atom

Cell: 4.954 4.954 2.963 Å, 90.00 90.00 90.00°
Atoms (fractional coordinates):
Cd1 0.000 0.500 0.000
Cd2 0.500 0.000 0.000
Ag1 0.000 0.000 0.500

---

A relaxed structure of CdAg6. Source: Alexandria, functional GGA-PBE.

Output
* symmetry: P4/mmm, No. 123
* E above lowest polymorph: 0.100 eV/atom

Cell: 4.716 4.716 6.300 Å, 90.00 90.00 90.00°
Atoms (fractional coordinates):
Cd1 0.000 0.000 0.000
Ag1 0.000 0.000 0.500
Ag2 0.000 0.500 0.264
Ag3 0.000 0.500 0.736
Ag4 0.500 0.000 0.264
Ag5 0.500 0.000 0.736
Ag6 0.500 0.500 0.000

---

A relaxed structure of Cd4Ag5. Source: Alexandria, functional GGA-PBE.

Output
* symmetry: I4/mmm, No. 139
* E above lowest polymorph: 0.016 eV/atom

Cell: 7.478 7.478 7.478 Å, 92.77 92.77 154.59°
Atoms (fractional coordinates):
Cd1 0.000 0.324 0.324
Cd2 0.000 0.676 0.676
Cd3 0.324 0.000 0.324
Cd4 0.676 0.000 0.676
Ag1 0.000 0.000 0.000
Ag2 0.334 0.334 0.668
Ag3 0.334 0.666 0.000
Ag4 0.666 0.334 0.000
Ag5 0.666 0.666 0.332

---

A relaxed structure of CdAg. Source: Alexandria, functional GGA-PBE.

Output
* symmetry: I-43m, No. 217

Cell: 7.438 7.438 7.438 Å, 109.47 109.47 109.47°
Atoms (fractional coordinates):
Cd1 0.000 0.000 0.403
Cd2 0.000 0.403 0.000
Cd3 0.403 0.000 0.000
Cd4 0.597 0.597 0.597
Ag1 0.000 0.000 0.766
Ag2 0.000 0.766 0.000
Ag3 0.234 0.234 0.234
Ag4 0.766 0.000 0.000

---

A relaxed structure of CdAg2. Source: Alexandria, functional GGA-PBE.

Output
* symmetry: I4/mmm, No. 139
* E above lowest polymorph: 0.018 eV/atom

Cell: 6.431 6.431 6.431 Å, 152.50 152.50 39.29°
Atoms (fractional coordinates):
Cd1 0.000 0.000 0.000
Ag1 0.331 0.331 0.000
Ag2 0.669 0.669 0.000

---

Number 1: energy relative to the elements -0.037 eV/atom. Number 2: energy relative to the elements -0.031 eV/atom. Number 3: energy relative to the elements -0.021 eV/atom. Number 4: energy relative to the elements 0.010 eV/atom. Number 5: energy relative to the elements 0.126 eV/atom. Number 6: energy relative to the elements -0.021 eV/atom. Number 7: energy relative to the elements 0.353 eV/atom. Number 8: energy relative to the elements -0.022 eV/atom.